[1]
A plane-wave DFT calculation with PBE-GGA was carried out for CaY2TlRu after structural relaxation.

a b c (Å): 5.2927 5.2927 5.4505
angles (deg): 90.00 90.00 90.00
Fractional coordinates of all 5 atoms:
Ca 0.0000 0.0000 0.0000
Y 0.0000 0.5000 0.5000
Y 0.5000 0.0000 0.5000
Tl 0.5000 0.5000 0.0000
Ru 0.5000 0.5000 0.5000

Properties
DOS at the Fermi energy ... 3.7 states/eV per cell
Theoretical density ... 5.7 g/cm3
Calculated formation energy ... -10 kJ per mole of atoms
Total magnetic moment ... 0.000 Bohr magnetons per cell

---

[2]
A plane-wave DFT calculation with PBE-GGA was carried out for TaCd2Co after structural relaxation.

a b c (Å): 3.8909 3.8909 4.5699
angles (deg): 90.00 90.00 90.00
Fractional coordinates of all 4 atoms:
Ta 0.0000 0.0000 0.0000
Cd 0.0000 0.5000 0.5000
Cd 0.5000 0.0000 0.5000
Co 0.5000 0.5000 0.0000

Properties
DOS at the Fermi energy ... 4.4 states/eV per cell
Theoretical density ... 11.2 g/cm3
Calculated formation energy ... 42 kJ per mole of atoms
Offset from the most stable computed form ... 0.364 eV per atom
Total magnetic moment ... 0.774 Bohr magnetons per cell

---

[3]
A plane-wave DFT calculation with PBE-GGA was carried out for SrGa3As after structural relaxation.

a b c (Å): 5.7147 5.7147 5.7147
angles (deg): 90.00 90.00 90.00
Fractional coordinates of all 5 atoms:
Sr 0.0000 0.0000 0.0000
Ga 0.0000 0.0000 0.5000
Ga 0.0000 0.5000 0.0000
Ga 0.5000 0.0000 0.0000
As 0.5000 0.5000 0.5000

Properties
DOS at the Fermi energy ... 3.2 states/eV per cell
Theoretical density ... 3.3 g/cm3
Calculated formation energy ... 101 kJ per mole of atoms
Offset from the most stable computed form ... 0.997 eV per atom
Total magnetic moment ... 0.000 Bohr magnetons per cell

---

[4]
A plane-wave DFT calculation with PBE-GGA was carried out for Sm2Dy4In5 after structural relaxation.

a b c (Å): 11.6207 10.8337 6.1635
angles (deg): 81.25 67.14 31.62
Fractional coordinates of all 11 atoms:
Sm 0.1086 0.1086 0.8914
Sm 0.8914 0.8914 0.1086
Dy 0.2039 0.5420 0.4580
Dy 0.4580 0.7961 0.2039
Dy 0.5420 0.2039 0.7961
Dy 0.7961 0.4580 0.5420
In 0.0000 0.0000 0.5000
In 0.2500 0.2500 0.2500
In 0.5000 0.5000 0.0000
In 0.5000 0.5000 0.5000
In 0.7500 0.7500 0.7500

Properties
DOS at the Fermi energy ... 9.3 states/eV per cell
Theoretical density ... 7.3 g/cm3
Calculated formation energy ... -12 kJ per mole of atoms
Total magnetic moment ... 0.000 Bohr magnetons per cell

---

[5]
A plane-wave DFT calculation with PBE-GGA was carried out for Ca5Ta3 after structural relaxation.

a b c (Å): 9.3773 9.3773 9.3773
angles (deg): 95.33 95.33 144.49
Fractional coordinates of all 16 atoms:
Ca 0.0784 0.7759 0.8542
Ca 0.2241 0.0784 0.3025
Ca 0.2500 0.7500 0.5000
Ca 0.2759 0.5784 0.8542
Ca 0.4216 0.2759 0.6975
Ca 0.5784 0.7241 0.3025
Ca 0.7241 0.4216 0.1458
Ca 0.7500 0.2500 0.5000
Ca 0.7759 0.9216 0.6975
Ca 0.9216 0.2241 0.1458
Ta 0.1732 0.3268 0.5000
Ta 0.2500 0.2500 0.0000
Ta 0.3268 0.8268 0.1535
Ta 0.6732 0.1732 0.8465
Ta 0.7500 0.7500 0.0000
Ta 0.8268 0.6732 0.5000

Properties
DOS at the Fermi energy ... 18.2 states/eV per cell
Theoretical density ... 5.4 g/cm3
Calculated formation energy ... 100 kJ per mole of atoms
Offset from the most stable computed form ... 0.406 eV per atom
Total magnetic moment ... 10.025 Bohr magnetons per cell

---

[6]
A plane-wave DFT calculation with PBE-GGA was carried out for Ce8SbTe4Se3 after structural relaxation.

a b c (Å): 8.7357 8.7357 8.8084
angles (deg): 119.72 119.72 60.01
Fractional coordinates of all 16 atoms:
Ce 0.2342 0.7494 0.7328
Ce 0.2412 0.2412 0.7249
Ce 0.2508 0.2508 0.2683
Ce 0.2506 0.7658 0.2672
Ce 0.7494 0.2342 0.7328
Ce 0.7492 0.7492 0.7317
Ce 0.7588 0.7588 0.2751
Ce 0.7658 0.2506 0.2672
Sb 0.5000 0.5000 0.5000
Te 0.0000 0.0000 0.0000
Te 0.0000 0.5000 0.0000
Te 0.5000 0.0000 0.0000
Te 0.5000 0.5000 0.0000
Se 0.0000 0.0000 0.5000
Se 0.0000 0.5000 0.5000
Se 0.5000 0.0000 0.5000

Properties
DOS at the Fermi energy ... 56.8 states/eV per cell
Theoretical density ... 6.9 g/cm3
Total magnetic moment ... 8.246 Bohr magnetons per cell
Formation energy without anion corrections ... -1.495 eV/atom

---

[7]
A plane-wave DFT calculation with PBE-GGA was carried out for Hf3Co20B6 after structural relaxation.

a b c (Å): 7.5161 7.5161 7.5161
angles (deg): 60.00 60.00 60.00
Fractional coordinates of all 29 atoms:
Hf 0.0000 0.0000 0.0000
Hf 0.2500 0.2500 0.2500
Hf 0.7500 0.7500 0.7500
Co 0.0000 0.0000 0.3461
Co 0.0000 0.0000 0.6539
Co 0.0000 0.3461 0.0000
Co 0.0000 0.3461 0.6539
Co 0.0000 0.6539 0.0000
Co 0.0000 0.6539 0.3461
Co 0.1580 0.6140 0.6140
Co 0.3461 0.0000 0.0000
Co 0.3461 0.0000 0.6539
Co 0.3461 0.6539 0.0000
Co 0.3860 0.3860 0.3860
Co 0.3860 0.3860 0.8420
Co 0.3860 0.8420 0.3860
Co 0.6140 0.1580 0.6140
Co 0.6140 0.6140 0.1580
Co 0.6140 0.6140 0.6140
Co 0.6539 0.0000 0.0000
Co 0.6539 0.0000 0.3461
Co 0.6539 0.3461 0.0000
Co 0.8420 0.3860 0.3860
B 0.2697 0.2697 0.7303
B 0.2697 0.7303 0.2697
B 0.2697 0.7303 0.7303
B 0.7303 0.2697 0.2697
B 0.7303 0.2697 0.7303
B 0.7303 0.7303 0.2697

Properties
DOS at the Fermi energy ... 32.1 states/eV per cell
Theoretical density ... 9.8 g/cm3
Calculated formation energy ... -32 kJ per mole of atoms
Total magnetic moment ... 16.190 Bohr magnetons per cell

---

[8]
A plane-wave DFT calculation with PBE-GGA was carried out for ZrReAs2 after structural relaxation.

a b c (Å): 5.7760 5.7760 5.7760
angles (deg): 40.28 40.28 40.28
Fractional coordinates of all 4 atoms:
Zr 0.0000 0.0000 0.0000
Re 0.5000 0.5000 0.5000
As 0.2370 0.2370 0.2370
As 0.7630 0.7630 0.7630

Properties
DOS at the Fermi energy ... 2.7 states/eV per cell
Theoretical density ... 9.8 g/cm3
Calculated formation energy ... -19 kJ per mole of atoms
Offset from the most stable computed form ... 0.209 eV per atom
Total magnetic moment ... 0.000 Bohr magnetons per cell

---

[9]
A plane-wave DFT calculation with PBE-GGA was carried out for Hf2AlOs after structural relaxation.

a b c (Å): 4.4405 4.4405 3.6224
angles (deg): 90.00 90.00 90.00
Fractional coordinates of all 4 atoms:
Hf 0.0000 0.5000 0.0000
Hf 0.5000 0.0000 0.0000
Al 0.0000 0.0000 0.5000
Os 0.5000 0.5000 0.5000

Properties
DOS at the Fermi energy ... 2.4 states/eV per cell
Theoretical density ... 13.3 g/cm3
Calculated formation energy ... -41 kJ per mole of atoms
Total magnetic moment ... 0.000 Bohr magnetons per cell

---

[10]
A plane-wave DFT calculation with PBE-GGA was carried out for GaSnPdRh after structural relaxation.

a b c (Å): 4.5202 4.5202 4.5202
angles (deg): 60.00 60.00 60.00
Fractional coordinates of all 4 atoms:
Ga 0.0000 0.0000 0.0000
Sn 0.5000 0.5000 0.5000
Pd 0.2500 0.2500 0.2500
Rh 0.7500 0.7500 0.7500

Properties
DOS at the Fermi energy ... 1.9 states/eV per cell
Theoretical density ... 10.1 g/cm3
Calculated formation energy ... -43 kJ per mole of atoms
Total magnetic moment ... 0.000 Bohr magnetons per cell

---

[11]
A plane-wave DFT calculation with PBE-GGA was carried out for CsSr3C after structural relaxation.

a b c (Å): 6.1169 6.1169 6.1169
angles (deg): 90.00 90.00 90.00
Fractional coordinates of all 5 atoms:
Cs 0.0000 0.0000 0.0000
Sr 0.0000 0.0000 0.5000
Sr 0.0000 0.5000 0.0000
Sr 0.5000 0.0000 0.0000
C 0.5000 0.5000 0.5000

Properties
DOS at the Fermi energy ... 7.5 states/eV per cell
Theoretical density ... 3.0 g/cm3
Calculated formation energy ... 221 kJ per mole of atoms
Offset from the most stable computed form ... 1.754 eV per atom
Total magnetic moment ... 0.000 Bohr magnetons per cell

---

[12]
A plane-wave DFT calculation with PBE-GGA was carried out for Li2Ge2Te after structural relaxation.

a b c (Å): 6.8954 6.8954 4.3262
angles (deg): 90.00 90.00 90.00
Fractional coordinates of all 10 atoms:
Li 0.1443 0.3557 0.0000
Li 0.3557 0.8557 0.0000
Li 0.6443 0.1443 0.0000
Li 0.8557 0.6443 0.0000
Ge 0.1340 0.6340 0.5000
Ge 0.3660 0.1340 0.5000
Ge 0.6340 0.8660 0.5000
Ge 0.8660 0.3660 0.5000
Te 0.0000 0.0000 0.0000
Te 0.5000 0.5000 0.0000

Properties
DOS at the Fermi energy ... 2.6 states/eV per cell
Theoretical density ... 4.6 g/cm3
Offset from the most stable computed form ... 0.126 eV per atom
Total magnetic moment ... 0.000 Bohr magnetons per cell
Formation energy without anion corrections ... -0.101 eV/atom

---

Q: The highest total magnetic moment belongs to which entry?
A: Hf3Co20B6

---

Q: What is the DOS at the Fermi energy in the fourth record?
A: 9.3 states/eV per cell

---

Q: What is the total magnetic moment in the seventh record?
A: 16.190 Bohr magnetons per cell